Here is an optimized crystal structure of Th4GeSb3 from the Alexandria database. Energies are from PBE.

Results
- magnetic moment (μB/f.u.) = 0.00
- Fermi-level density of states (states/eV per cell) = 7.9
- calculated total energy (eV/atom) = -6.728

Structure (POSCAR):
```
Th4GeSb3
1.0
7.751 0.000 0.000
0.000 8.895 0.000
-2.547 0.000 7.280
Th Ge Sb
8 2 6
Cartesian
1.795 1.036 0.006 Th
0.521 7.859 3.646 Th
0.621 3.238 3.564 Th
-0.653 5.657 7.204 Th
5.857 3.238 0.076 Th
4.583 5.657 3.716 Th
4.682 1.036 3.634 Th
3.408 7.859 7.274 Th
-0.637 1.107 1.820 Ge
-1.911 7.788 5.460 Ge
-1.911 3.344 5.460 Sb
-0.637 5.551 1.820 Sb
1.965 1.110 5.460 Sb
3.239 3.350 1.820 Sb
1.965 5.545 5.460 Sb
3.239 7.785 1.820 Sb
```


Here is an optimized crystal structure of Li2RhAu from the Alexandria database. Energies are from PBE.

Results
- magnetic moment (μB/f.u.) = 0.43
- Fermi-level density of states (states/eV per cell) = 2.1
- calculated total energy (eV/atom) = -3.889

Structure (POSCAR):
```
Li2RhAu
1.0
5.009 -1.357 0.000
5.009 1.357 0.000
-1.976 0.000 4.298
Li Rh Au
2 1 1
Cartesian
0.000 0.000 0.000 Li
1.258 0.000 2.394 Li
3.917 0.000 2.142 Rh
7.362 0.000 0.258 Au
```


Here is an optimized crystal structure of Sr3AcSm2Te6 from the Alexandria database. Energies are from PBE.

Results
- magnetic moment (μB/f.u.) = 0.00
- Fermi-level density of states (states/eV per cell) = 5.3
- calculated total energy (eV/atom) = -4.670

Structure (POSCAR):
```
Sr3AcSm2Te6
1.0
3.982 -6.890 0.000
3.982 6.890 0.000
-2.662 0.000 7.680
Sr Ac Sm Te
3 1 2 6
Cartesian
0.000 0.000 0.000 Sr
3.982 2.242 0.000 Sr
3.982 -2.242 0.000 Sr
2.651 0.000 3.840 Ac
2.651 4.582 3.840 Sm
2.651 -4.582 3.840 Sm
1.281 2.372 1.969 Te
-0.095 0.000 5.686 Te
1.281 -2.372 1.969 Te
4.021 2.372 5.711 Te
5.396 0.000 1.995 Te
4.021 -2.372 5.711 Te
```


Here is an optimized crystal structure of TePAu from the Alexandria database. Energies are from PBE.

Results
- magnetic moment (μB/f.u.) = 0.00
- calculated total energy (eV/atom) = -3.937

Structure (POSCAR):
```
TePAu
1.0
5.006 0.000 0.000
0.616 5.885 0.000
2.474 0.903 5.638
Te P Au
2 2 2
Cartesian
0.000 0.000 0.000 Te
4.093 3.256 5.241 Te
2.489 2.288 1.937 P
3.998 0.637 2.182 P
3.568 4.386 2.048 Au
5.753 1.680 3.559 Au
```


Here is an optimized crystal structure of Al7Ag from the Alexandria database. Energies are from PBE.

Results
- magnetic moment (μB/f.u.) = 0.00
- Fermi-level density of states (states/eV per cell) = 3.0
- calculated total energy (eV/atom) = -3.615

Structure (POSCAR):
```
Al7Ag
1.0
4.486 -2.051 0.000
4.486 2.051 0.000
-3.659 0.000 7.274
Al Ag
7 1
Cartesian
0.000 0.000 0.000 Al
0.858 0.000 2.718 Al
-0.957 0.000 6.375 Al
3.569 0.000 1.789 Al
1.743 0.000 5.485 Al
6.270 0.000 0.900 Al
4.454 0.000 4.557 Al
-1.829 0.000 3.637 Ag
```


Here is an optimized crystal structure of Sm5Hg2N2 from the Alexandria database. Energies are from PBE.

Results
- magnetic moment (μB/f.u.) = 0.00
- Fermi-level density of states (states/eV per cell) = 11.8
- calculated total energy (eV/atom) = -5.339

Structure (POSCAR):
```
Sm5Hg2N2
1.0
-9.316 3.582 3.485
9.316 -3.582 3.485
9.316 3.582 -3.485
Sm Hg N
10 4 4
Cartesian
4.658 0.985 -0.868 Sm
2.586 -0.312 1.852 Sm
6.730 -0.312 1.852 Sm
0.194 1.766 0.000 Sm
9.122 1.766 0.000 Sm
6.730 3.894 -1.633 Sm
11.901 0.312 1.852 Sm
4.658 2.597 2.618 Sm
0.194 1.816 3.485 Sm
9.122 1.816 3.485 Sm
-1.978 3.476 1.700 Hg
1.978 -0.106 5.185 Hg
1.978 3.687 1.700 Hg
7.337 3.687 1.700 Hg
13.973 -0.569 1.447 N
0.000 0.000 1.751 N
9.316 0.000 1.751 N
4.658 0.569 1.447 N
```


Here is an optimized crystal structure of Ni6Pd2Pt5 from the Alexandria database. Energies are from PBE.

Results
- magnetic moment (μB/f.u.) = 6.37
- Fermi-level density of states (states/eV per cell) = 41.1
- calculated total energy (eV/atom) = -5.758

Structure (POSCAR):
```
Ni6Pd2Pt5
1.0
8.876 0.000 0.000
0.000 15.022 0.000
0.000 0.000 2.705
Ni Pd Pt
12 4 10
Cartesian
0.266 2.171 0.000 Ni
0.670 6.579 0.000 Ni
1.862 13.340 1.352 Ni
2.576 5.829 1.352 Ni
3.768 14.090 0.000 Ni
4.172 9.682 0.000 Ni
4.704 5.340 0.000 Ni
5.108 0.931 0.000 Ni
6.299 9.193 1.352 Ni
7.014 1.682 1.352 Ni
8.206 8.442 0.000 Ni
8.609 12.851 0.000 Ni
1.942 11.048 0.000 Pd
2.496 3.537 0.000 Pd
6.380 11.484 0.000 Pd
6.933 3.974 0.000 Pd
0.000 0.000 1.352 Pt
0.318 4.439 1.352 Pt
1.860 8.494 1.352 Pt
2.578 0.983 1.352 Pt
4.120 11.950 1.352 Pt
4.438 7.511 1.352 Pt
4.756 3.072 1.352 Pt
6.297 14.038 1.352 Pt
7.016 6.528 1.352 Pt
8.557 10.583 1.352 Pt
```


Here is an optimized crystal structure of Ga2TcBr8 from the Alexandria database. Energies are from PBE.

Results
- magnetic moment (μB/f.u.) = 1.00
- Fermi-level density of states (states/eV per cell) = 1.1
- calculated total energy (eV/atom) = -3.301

Structure (POSCAR):
```
Ga2TcBr8
1.0
6.544 -4.749 0.000
6.544 4.749 0.000
-0.766 0.000 6.489
Ga Tc Br
2 1 8
Cartesian
2.238 0.000 0.777 Ga
10.084 0.000 5.712 Ga
-0.383 0.000 3.245 Tc
4.920 3.014 4.684 Br
1.634 0.000 4.813 Br
7.401 3.014 1.805 Br
4.462 0.000 1.449 Br
7.860 0.000 5.040 Br
4.920 -3.014 4.684 Br
10.688 0.000 1.676 Br
7.401 -3.014 1.805 Br
```


Here is an optimized crystal structure of Pm8SiC4 from the Alexandria database. Energies are from PBE.

Results
- magnetic moment (μB/f.u.) = 0.90
- Fermi-level density of states (states/eV per cell) = 8.6
- calculated total energy (eV/atom) = -6.274

Structure (POSCAR):
```
Pm8SiC4
1.0
0.000 5.498 5.498
5.498 0.000 5.498
5.498 5.498 0.000
Pm Si C
8 1 4
Cartesian
7.010 3.986 3.986 Pm
1.174 1.174 1.174 Pm
4.324 4.324 1.174 Pm
4.324 1.174 4.324 Pm
3.986 7.010 3.986 Pm
3.986 3.986 7.010 Pm
7.010 7.010 7.010 Pm
1.174 4.324 4.324 Pm
2.749 2.749 2.749 Si
9.558 6.936 6.936 C
6.936 9.558 6.936 C
6.936 6.936 9.558 C
9.558 9.558 9.558 C
```


Here is an optimized crystal structure of Y4Ga12Ir from the Alexandria database. Energies are from PBE.

Results
- magnetic moment (μB/f.u.) = 0.00
- Fermi-level density of states (states/eV per cell) = 6.6
- calculated total energy (eV/atom) = -4.790

Structure (POSCAR):
```
Y4Ga12Ir
1.0
-4.313 4.313 4.313
4.313 -4.313 4.313
4.313 4.313 -4.313
Y Ga Ir
4 12 1
Cartesian
2.156 2.156 -2.156 Y
2.156 -2.156 2.156 Y
-2.156 2.156 2.156 Y
2.156 2.156 2.156 Y
2.528 0.000 0.000 Ga
6.098 0.000 0.000 Ga
4.313 2.156 0.000 Ga
4.313 0.000 2.156 Ga
0.000 2.528 0.000 Ga
0.000 0.000 2.528 Ga
2.156 4.313 0.000 Ga
2.156 0.000 4.313 Ga
0.000 6.098 0.000 Ga
0.000 0.000 6.098 Ga
0.000 4.313 2.156 Ga
0.000 2.156 4.313 Ga
0.000 0.000 0.000 Ir
```


Here is an optimized crystal structure of La3Cu2Hg from the Alexandria database. Energies are from PBE.

Results
- magnetic moment (μB/f.u.) = 0.00
- Fermi-level density of states (states/eV per cell) = 5.7
- calculated total energy (eV/atom) = -4.118

Structure (POSCAR):
```
La3Cu2Hg
1.0
2.670 -7.875 0.000
2.670 7.875 0.000
0.000 0.000 3.765
La Cu Hg
3 2 1
Cartesian
0.000 0.000 0.000 La
2.670 2.806 0.000 La
2.670 -2.806 0.000 La
2.670 5.347 1.882 Cu
2.670 -5.347 1.882 Cu
2.670 0.000 1.882 Hg
```


Here is an optimized crystal structure of SrTcCl2 from the Alexandria database. Energies are from PBE.

Results
- magnetic moment (μB/f.u.) = 3.00
- Fermi-level density of states (states/eV per cell) = 1.6
- calculated total energy (eV/atom) = -4.349

Structure (POSCAR):
```
SrTcCl2
1.0
-2.530 2.530 8.247
2.530 -2.530 8.247
2.530 2.530 -8.247
Sr Tc Cl
2 2 4
Cartesian
0.000 0.000 0.000 Sr
0.000 2.530 4.123 Sr
2.530 0.000 4.123 Tc
0.000 0.000 8.247 Tc
1.265 -0.973 6.185 Cl
1.557 1.265 2.062 Cl
1.265 3.503 -2.062 Cl
0.973 1.265 10.309 Cl
```


Which value of magnetic moment does entry 10 give? 0.00 μB/f.u.